#a
A plane-wave DFT calculation with PBEsol was carried out for Li5Si after structural relaxation.

Cell: 5.3753 5.3753 7.0253 Å, 109.17 109.17 30.38°
Last column: nearest neighbours and their distance in Å.
Sites, in units of the cell vectors:
Li 0.0000 0.0000 0.0000  2 Si 2.62, 9 Li 2.75-2.82
Li 0.0299 0.0299 0.6245  4 Li 2.61-2.82, 2 Si 2.77
Li 0.2956 0.2956 0.7157  7 Li 2.61-2.90, 2 Si 2.62
Li 0.3768 0.3768 0.2380  2 Si 2.62, 6 Li 2.76-2.82
Li 0.6788 0.6788 0.3341  9 Li 2.76-2.97, 1 Si 2.76
Si 0.7001 0.7001 0.9528  9 Li 2.62-2.77, 2 Si 2.82

**Calculated density**: 1.1 g/cm3
**Total magnetic moment**: 0.0 μB/cell

#b
A plane-wave DFT calculation with PBEsol was carried out for Li5Si after structural relaxation.

Cell: 5.0195 5.0195 4.5271 Å, 90.00 90.00 126.18°
Last column: nearest neighbours and their distance in Å.
Sites, in units of the cell vectors:
Li 0.0000 0.0000 0.0000  8 Li 2.62-2.71
Li 0.1669 0.8331 0.5000  7 Li 2.71-2.99, 3 Si 2.72-2.98
Li 0.3534 0.6466 0.0000  2 Si 2.62, 5 Li 2.62-2.81
Li 0.6466 0.3534 0.0000  2 Si 2.62, 5 Li 2.62-2.81
Li 0.8331 0.1669 0.5000  7 Li 2.71-2.99, 3 Si 2.72-2.98
Si 0.5000 0.5000 0.5000  8 Li 2.62-2.72

**Calculated density**: 1.1 g/cm3
**Total magnetic moment**: 0.0 μB/cell

Name the most stable of them. #b.

#a
A plane-wave DFT calculation with PBEsol was carried out for Li2SiTe after structural relaxation.

Cell: 3.0160 3.0160 8.3409 Å, 90.00 90.00 90.00°
Last column: nearest neighbours and their distance in Å.
Sites, in units of the cell vectors:
Li 0.0000 0.0000 0.2147  4 Si 2.78, 4 Li 3.02
Li 0.0000 0.0000 0.7853  4 Si 2.78, 4 Li 3.02
Si 0.5000 0.5000 0.0000  8 Li 2.78, 4 Si 3.02
Te 0.5000 0.5000 0.5000  4 Te 3.02, 8 Li 3.20

**Calculated density**: 3.7 g/cm3
**Total magnetic moment**: 0.0 μB/cell

#b
A plane-wave DFT calculation with PBEsol was carried out for Li2SiTe after structural relaxation.

Cell: 5.5119 5.5119 5.5119 Å, 138.23 138.23 60.56°
Last column: nearest neighbours and their distance in Å.
Sites, in units of the cell vectors:
Li 0.0000 0.0000 0.0000  4 Te 2.78, 4 Li 3.09, 4 Si 3.09
Li 0.7500 0.2500 0.5000  4 Si 2.78, 4 Li 3.09, 4 Te 3.09
Si 0.2500 0.7500 0.5000  8 Li 2.78-3.09, 4 Te 3.09
Te 0.5000 0.5000 0.0000  8 Li 2.78-3.09, 4 Si 3.09

**Calculated density**: 3.8 g/cm3
**Total magnetic moment**: 0.0 μB/cell

Name the most stable of them. #a.

#a
A plane-wave DFT calculation with PBEsol was carried out for LiSiW after structural relaxation.

Cell: 4.6652 4.6652 4.6652 Å, 146.61 134.24 57.82°
Last column: nearest neighbours and their distance in Å.
Sites, in units of the cell vectors:
Li 0.0000 0.0000 0.0000  5 Si 2.57-2.86, 5 W 2.61-2.69, 2 Li 2.68
Si 0.6502 0.6502 0.0000  5 Li 2.57-2.86, 5 W 2.65-2.70, 2 Si 2.68
W 0.3200 0.3200 0.0000  5 Li 2.61-2.69, 5 Si 2.65-2.70, 2 W 2.68

**Calculated density**: 9.2 g/cm3
**Total magnetic moment**: 0.0 μB/cell

#b
A plane-wave DFT calculation with PBEsol was carried out for LiSiW after structural relaxation.

Cell: 6.6063 6.6063 6.6063 Å, 156.86 156.86 32.96°
Last column: nearest neighbours and their distance in Å.
Sites, in units of the cell vectors:
Li 0.0000 0.0000 0.0000  4 Li 2.65, 4 Si 2.82
Si 0.6662 0.6662 0.0000  4 Si 2.65, 4 W 2.67, 4 Li 2.82
W 0.3168 0.3168 0.0000  4 W 2.65, 4 Si 2.67

**Calculated density**: 8.2 g/cm3
**Total magnetic moment**: 0.0 μB/cell

Name the most stable of them. #a.